A relaxed BaNaMg14 crystal, computed with GGA-PBE.

Values from the calculation:
E_form (eV/f.u.): 1.28
Electronic total energy (eV/atom): -1.518

```
data_BaNaMg14
_cell_length_a 10.688
_cell_length_b 6.425
_cell_length_c 12.027
_cell_angle_alpha 90.00
_cell_angle_beta 90.00
_cell_angle_gamma 90.00
_space_group_name_H-M_alt 'A m m 2'
_space_group_IT_number 38
_space_group_name_Hall 'A 2 -2'
loop_
_atom_site_label
_atom_site_fract_x
_atom_site_fract_y
_atom_site_fract_z
Ba1 0.000 0.000 0.000
Na1 0.000 0.000 0.486
Mg1 0.000 0.248 0.247
Mg2 0.246 0.000 0.651
Mg3 0.265 0.000 0.159
Mg4 0.268 0.249 0.396
Mg5 0.500 0.000 0.492
Mg6 0.500 0.000 0.991
Mg7 0.500 0.245 0.737
```

=====

A relaxed BaNaMg crystal, computed with GGA-PBE.

Values from the calculation:
Energy above the lowest structure with this stoichiometry (meV/atom): 36
E_form (eV/f.u.): 0.12
Electronic total energy (eV/atom): -1.572

```
data_BaNaMg
_cell_length_a 5.8256
_cell_length_b 5.8256
_cell_length_c 4.1467
_cell_angle_alpha 90.00
_cell_angle_beta 90.00
_cell_angle_gamma 120.00
_space_group_name_H-M_alt 'P 3 m 1'
_space_group_IT_number 156
_space_group_name_Hall 'P 3 -2"'
loop_
_atom_site_label
_atom_site_fract_x
_atom_site_fract_y
_atom_site_fract_z
Ba1 0.0000 0.0000 0.0000
Na1 0.6667 0.3333 0.4990
Mg1 0.3333 0.6667 0.5003
```

=====

A relaxed Ba2NaMg2 crystal, computed with GGA-PBE.

Values from the calculation:
Energy above the lowest structure with this stoichiometry (meV/atom): 123
E_form (eV/f.u.): 0.62
Electronic total energy (eV/atom): -1.546

```
data_Ba2NaMg2
_cell_length_a 10.413
_cell_length_b 10.413
_cell_length_c 4.086
_cell_angle_alpha 90.00
_cell_angle_beta 90.00
_cell_angle_gamma 90.00
_space_group_name_H-M_alt 'P 4/m b m'
_space_group_IT_number 127
_space_group_name_Hall '-P 4 2ab'
loop_
_atom_site_label
_atom_site_fract_x
_atom_site_fract_y
_atom_site_fract_z
Ba1 0.141 0.359 0.000
Na1 0.000 0.000 0.000
Mg1 0.151 0.651 0.500
```

=====

A relaxed BaNa14Mg crystal, computed with GGA-PBE.

Values from the calculation:
E_form (eV/f.u.): 0.83
Electronic total energy (eV/atom): -1.322

```
data_BaNa14Mg
_cell_length_a 7.747
_cell_length_b 7.747
_cell_length_c 10.078
_cell_angle_alpha 90.00
_cell_angle_beta 90.00
_cell_angle_gamma 90.00
_space_group_name_H-M_alt 'P 4/m m m'
_space_group_IT_number 123
_space_group_name_Hall '-P 4 2'
loop_
_atom_site_label
_atom_site_fract_x
_atom_site_fract_y
_atom_site_fract_z
Ba1 0.000 0.000 0.000
Na1 0.000 0.000 0.500
Na2 0.000 0.500 0.000
Na3 0.000 0.500 0.500
Na4 0.268 0.268 0.256
Na5 0.500 0.500 0.500
Mg1 0.500 0.500 0.000
```

=====

A relaxed BaNaMg crystal, computed with GGA-PBE.

Values from the calculation:
Energy above the lowest structure with this stoichiometry (meV/atom): 0
E_form (eV/f.u.): 0.01
Electronic total energy (eV/atom): -1.608

```
data_BaNaMg
_cell_length_a 9.923
_cell_length_b 5.738
_cell_length_c 8.467
_cell_angle_alpha 90.00
_cell_angle_beta 90.01
_cell_angle_gamma 90.00
_space_group_name_H-M_alt 'C 1 2/m 1'
_space_group_IT_number 12
_space_group_name_Hall '-C 2y'
loop_
_atom_site_label
_atom_site_fract_x
_atom_site_fract_y
_atom_site_fract_z
Ba1 0.000 0.000 0.227
Na1 0.167 0.500 0.499
Mg1 0.167 0.500 0.000
```

=====

A relaxed Ba5NaMg crystal, computed with GGA-PBE.

Values from the calculation:
E_form (eV/f.u.): 0.79
Electronic total energy (eV/atom): -1.677

```
data_Ba5NaMg
_cell_length_a 15.793
_cell_length_b 7.725
_cell_length_c 13.131
_cell_angle_alpha 90.00
_cell_angle_beta 102.12
_cell_angle_gamma 90.00
_space_group_name_H-M_alt 'C 1 2/c 1'
_space_group_IT_number 15
_space_group_name_Hall '-C 2yc'
loop_
_atom_site_label
_atom_site_fract_x
_atom_site_fract_y
_atom_site_fract_z
Ba1 0.000 0.225 0.250
Ba2 0.131 0.403 0.015
Ba3 0.208 0.115 0.671
Na1 0.000 0.280 0.750
Mg1 0.000 0.000 0.000
```

=====

A relaxed BaNa2Mg2 crystal, computed with GGA-PBE.

Values from the calculation:
Energy above the lowest structure with this stoichiometry (meV/atom): 0
E_form (eV/f.u.): 0.38
Electronic total energy (eV/atom): -1.474

```
data_BaNa2Mg2
_cell_length_a 4.956
_cell_length_b 4.956
_cell_length_c 15.470
_cell_angle_alpha 90.00
_cell_angle_beta 90.00
_cell_angle_gamma 90.00
_space_group_name_H-M_alt 'I 4/m m m'
_space_group_IT_number 139
_space_group_name_Hall '-I 4 2'
loop_
_atom_site_label
_atom_site_fract_x
_atom_site_fract_y
_atom_site_fract_z
Ba1 0.000 0.000 0.000
Na1 0.000 0.500 0.250
Mg1 0.000 0.000 0.401
```

=====

A relaxed BaNaMg2 crystal, computed with GGA-PBE.

Values from the calculation:
Energy above the lowest structure with this stoichiometry (meV/atom): 49
E_form (eV/f.u.): 0.43
Electronic total energy (eV/atom): -1.501

```
data_BaNaMg2
_cell_length_a 5.230
_cell_length_b 5.230
_cell_length_c 5.376
_cell_angle_alpha 90.00
_cell_angle_beta 90.00
_cell_angle_gamma 90.00
_space_group_name_H-M_alt 'P 4/m m m'
_space_group_IT_number 123
_space_group_name_Hall '-P 4 2'
loop_
_atom_site_label
_atom_site_fract_x
_atom_site_fract_y
_atom_site_fract_z
Ba1 0.000 0.000 0.000
Na1 0.500 0.500 0.000
Mg1 0.000 0.500 0.500
```

=====

A relaxed Ba6Na23Mg crystal, computed with GGA-PBE.

Values from the calculation:
E_form (eV/f.u.): -0.07
Electronic total energy (eV/atom): -1.451

```
data_Ba6Na23Mg
_cell_length_a 17.195
_cell_length_b 17.195
_cell_length_c 17.195
_cell_angle_alpha 90.00
_cell_angle_beta 90.00
_cell_angle_gamma 90.00
_space_group_name_H-M_alt 'F m -3 m'
_space_group_IT_number 225
_space_group_name_Hall '-F 4 2 3'
loop_
_atom_site_label
_atom_site_fract_x
_atom_site_fract_y
_atom_site_fract_z
Ba1 0.000 0.000 0.207
Na1 0.000 0.000 0.500
Na2 0.000 0.250 0.250
Na3 0.119 0.119 0.381
Na4 0.170 0.170 0.170
Mg1 0.000 0.000 0.000
```

=====

A relaxed Ba2Na2Mg crystal, computed with GGA-PBE.

Values from the calculation:
Energy above the lowest structure with this stoichiometry (meV/atom): 234
E_form (eV/f.u.): 1.01
Electronic total energy (eV/atom): -1.414

```
data_Ba2Na2Mg
_cell_length_a 9.845
_cell_length_b 9.845
_cell_length_c 5.244
_cell_angle_alpha 90.00
_cell_angle_beta 90.00
_cell_angle_gamma 90.00
_space_group_name_H-M_alt 'P 4/m b m'
_space_group_IT_number 127
_space_group_name_Hall '-P 4 2ab'
loop_
_atom_site_label
_atom_site_fract_x
_atom_site_fract_y
_atom_site_fract_z
Ba1 0.159 0.341 0.000
Na1 0.140 0.640 0.500
Mg1 0.000 0.000 0.000
```

=====

A relaxed Ba2NaMgNi crystal, computed with GGA-PBE.

Values from the calculation:
E_form (eV/f.u.): -0.01
Electronic total energy (eV/atom): -2.510

```
data_Ba2NaMgNi
_cell_length_a 6.062
_cell_length_b 6.062
_cell_length_c 5.195
_cell_angle_alpha 90.00
_cell_angle_beta 90.00
_cell_angle_gamma 90.00
_space_group_name_H-M_alt 'P 4/m m m'
_space_group_IT_number 123
_space_group_name_Hall '-P 4 2'
loop_
_atom_site_label
_atom_site_fract_x
_atom_site_fract_y
_atom_site_fract_z
Ba1 0.000 0.500 0.000
Na1 0.000 0.000 0.500
Mg1 0.500 0.500 0.500
Ni1 0.500 0.500 0.000
```

=====

A relaxed BaNaMg2Ni crystal, computed with GGA-PBE.

Values from the calculation:
Energy above the lowest structure with this stoichiometry (meV/atom): 20
E_form (eV/f.u.): 0.36
Electronic total energy (eV/atom): -2.370

```
data_BaNaMg2Ni
_cell_length_a 5.071
_cell_length_b 5.071
_cell_length_c 5.543
_cell_angle_alpha 90.00
_cell_angle_beta 90.00
_cell_angle_gamma 90.00
_space_group_name_H-M_alt 'P 4/m m m'
_space_group_IT_number 123
_space_group_name_Hall '-P 4 2'
loop_
_atom_site_label
_atom_site_fract_x
_atom_site_fract_y
_atom_site_fract_z
Ba1 0.000 0.000 0.000
Na1 0.500 0.500 0.000
Mg1 0.000 0.500 0.500
Ni1 0.500 0.500 0.500
```

=====

A relaxed BaNaMg2Ni crystal, computed with GGA-PBE.

Values from the calculation:
Energy above the lowest structure with this stoichiometry (meV/atom): 0
E_form (eV/f.u.): 0.26
Electronic total energy (eV/atom): -2.391

```
data_BaNaMg2Ni
_cell_length_a 5.112
_cell_length_b 5.112
_cell_length_c 5.642
_cell_angle_alpha 90.00
_cell_angle_beta 90.00
_cell_angle_gamma 90.00
_space_group_name_H-M_alt 'P 4/m m m'
_space_group_IT_number 123
_space_group_name_Hall '-P 4 2'
loop_
_atom_site_label
_atom_site_fract_x
_atom_site_fract_y
_atom_site_fract_z
Ba1 0.000 0.000 0.000
Na1 0.500 0.500 0.000
Mg1 0.000 0.500 0.500
Ni1 0.000 0.000 0.500
```

=====

A relaxed Ba2NaMgP crystal, computed with GGA-PBE.

Values from the calculation:
E_form (eV/f.u.): -1.77
Electronic total energy (eV/atom): -2.788

```
data_Ba2NaMgP
_cell_length_a 6.411
_cell_length_b 6.411
_cell_length_c 5.031
_cell_angle_alpha 90.00
_cell_angle_beta 90.00
_cell_angle_gamma 90.00
_space_group_name_H-M_alt 'P 4/m m m'
_space_group_IT_number 123
_space_group_name_Hall '-P 4 2'
loop_
_atom_site_label
_atom_site_fract_x
_atom_site_fract_y
_atom_site_fract_z
Ba1 0.000 0.500 0.000
Na1 0.000 0.000 0.500
Mg1 0.500 0.500 0.500
P1 0.500 0.500 0.000
```

=====

A relaxed BaNaMgPb crystal, computed with GGA-PBE.

Values from the calculation:
E_form (eV/f.u.): -0.81
Electronic total energy (eV/atom): -2.339

```
data_BaNaMgPb
_cell_length_a 8.069
_cell_length_b 8.069
_cell_length_c 8.069
_cell_angle_alpha 90.00
_cell_angle_beta 90.00
_cell_angle_gamma 90.00
_space_group_name_H-M_alt 'F -4 3 m'
_space_group_IT_number 216
_space_group_name_Hall 'F -4 2 3'
loop_
_atom_site_label
_atom_site_fract_x
_atom_site_fract_y
_atom_site_fract_z
Ba1 0.000 0.000 0.000
Na1 0.250 0.250 0.250
Mg1 0.000 0.000 0.500
Pb1 0.250 0.250 0.750
```

=====

A relaxed Ba2NaMg3Pb4 crystal, computed with GGA-PBE.

Values from the calculation:
E_form (eV/f.u.): -3.31
Electronic total energy (eV/atom): -2.810

```
data_Ba2NaMg3Pb4
_cell_length_a 5.026
_cell_length_b 5.026
_cell_length_c 12.783
_cell_angle_alpha 90.00
_cell_angle_beta 90.00
_cell_angle_gamma 90.00
_space_group_name_H-M_alt 'P -4 m 2'
_space_group_IT_number 115
_space_group_name_Hall 'P -4 -2'
loop_
_atom_site_label
_atom_site_fract_x
_atom_site_fract_y
_atom_site_fract_z
Ba1 0.000 0.500 0.247
Na1 0.000 0.000 0.500
Mg1 0.000 0.500 0.864
Mg2 0.500 0.500 0.500
Pb1 0.000 0.000 0.000
Pb2 0.000 0.500 0.639
Pb3 0.500 0.500 0.000
```

=====

A relaxed Ba2NaMgPd crystal, computed with GGA-PBE.

Values from the calculation:
Energy above the lowest structure with this stoichiometry (meV/atom): 147
E_form (eV/f.u.): -0.53
Electronic total energy (eV/atom): -2.496

```
data_Ba2NaMgPd
_cell_length_a 6.188
_cell_length_b 6.188
_cell_length_c 5.553
_cell_angle_alpha 90.00
_cell_angle_beta 90.00
_cell_angle_gamma 90.00
_space_group_name_H-M_alt 'P 4/m m m'
_space_group_IT_number 123
_space_group_name_Hall '-P 4 2'
loop_
_atom_site_label
_atom_site_fract_x
_atom_site_fract_y
_atom_site_fract_z
Ba1 0.000 0.500 0.000
Na1 0.000 0.000 0.500
Mg1 0.500 0.500 0.500
Pd1 0.000 0.000 0.000
```

=====

A relaxed Ba2NaMgPd crystal, computed with GGA-PBE.

Values from the calculation:
Energy above the lowest structure with this stoichiometry (meV/atom): 0
E_form (eV/f.u.): -1.26
Electronic total energy (eV/atom): -2.643

```
data_Ba2NaMgPd
_cell_length_a 6.244
_cell_length_b 6.244
_cell_length_c 5.303
_cell_angle_alpha 90.00
_cell_angle_beta 90.00
_cell_angle_gamma 90.00
_space_group_name_H-M_alt 'P 4/m m m'
_space_group_IT_number 123
_space_group_name_Hall '-P 4 2'
loop_
_atom_site_label
_atom_site_fract_x
_atom_site_fract_y
_atom_site_fract_z
Ba1 0.000 0.500 0.000
Na1 0.000 0.000 0.500
Mg1 0.500 0.500 0.500
Pd1 0.500 0.500 0.000
```

=====

A relaxed BaNaPrMg crystal, computed with GGA-PBE.

Values from the calculation:
E_form (eV/f.u.): 0.57
Electronic total energy (eV/atom): -2.262

```
data_BaNaPrMg
_cell_length_a 8.483
_cell_length_b 8.483
_cell_length_c 8.483
_cell_angle_alpha 90.00
_cell_angle_beta 90.00
_cell_angle_gamma 90.00
_space_group_name_H-M_alt 'F -4 3 m'
_space_group_IT_number 216
_space_group_name_Hall 'F -4 2 3'
loop_
_atom_site_label
_atom_site_fract_x
_atom_site_fract_y
_atom_site_fract_z
Ba1 0.000 0.000 0.000
Na1 0.250 0.250 0.250
Pr1 0.000 0.000 0.500
Mg1 0.250 0.250 0.750
```

=====

A relaxed BaNaMg2Pt crystal, computed with GGA-PBE.

Values from the calculation:
Energy above the lowest structure with this stoichiometry (meV/atom): 0
E_form (eV/f.u.): -1.61
Electronic total energy (eV/atom): -2.816

```
data_BaNaMg2Pt
_cell_length_a 5.264
_cell_length_b 5.264
_cell_length_c 5.997
_cell_angle_alpha 90.00
_cell_angle_beta 90.00
_cell_angle_gamma 90.00
_space_group_name_H-M_alt 'P 4/m m m'
_space_group_IT_number 123
_space_group_name_Hall '-P 4 2'
loop_
_atom_site_label
_atom_site_fract_x
_atom_site_fract_y
_atom_site_fract_z
Ba1 0.000 0.000 0.000
Na1 0.500 0.500 0.000
Mg1 0.000 0.500 0.500
Pt1 0.000 0.000 0.500
```